No. 1
ZnTc2As: relaxed, GGA-PBE.

## Properties
**Energy above the lowest structure with this stoichiometry**: 258 meV per atom

Cell: 3.037 4.887 8.220 Å, 90.00 90.00 90.00°
Space group Cmmm (No. 65)
Asymmetric unit:
Zn 0.000 0.000 0.000 x2
Tc 0.000 0.500 0.265 x4
As 0.000 0.000 0.500 x2

No. 2
ZnTcAs2: relaxed, GGA-PBE.

Cell: 3.144 3.930 5.267 Å, 90.00 90.00 90.00°
Space group Pmm2 (No. 25)
Asymmetric unit:
Zn 0.000 0.000 0.000 x1
Tc 0.500 0.500 0.668 x1
As 0.000 0.000 0.524 x1
As 0.500 0.500 0.169 x1

No. 3
ZnTc2As2: relaxed, GGA-PBE.

## Properties
**Energy above the lowest structure with this stoichiometry**: 52 meV per atom

Cell: 4.357 4.357 9.199 Å, 90.00 90.00 90.00°
Space group I4/mmm (No. 139)
Asymmetric unit:
Zn 0.000 0.000 0.000 x2
Tc 0.000 0.500 0.250 x4
As 0.000 0.000 0.369 x4

No. 4
ZnTcAs2: relaxed, GGA-PBE.

Cell: 5.755 5.755 10.986 Å, 90.00 90.00 90.00°
Space group I-42d (No. 122)
Asymmetric unit:
Zn 0.000 0.000 0.000 x4
Tc 0.000 0.000 0.500 x4
As 0.230 0.250 0.625 x8

No. 5
ZnTcAs2: relaxed, GGA-PBE.

Cell: 3.820 3.820 8.779 Å, 90.00 90.00 90.00°
Space group I-4m2 (No. 119)
Asymmetric unit:
Zn 0.000 0.000 0.000 x2
Tc 0.000 0.500 0.250 x2
As 0.000 0.000 0.500 x2
As 0.000 0.500 0.750 x2

No. 6
ZnTcAs2: relaxed, GGA-PBE.

Cell: 3.2164 3.2164 22.8981 Å, 90.00 90.00 120.00°
Space group R-3m (No. 166, hexagonal axes)
Asymmetric unit:
Zn 0.0000 0.0000 0.0000 x3
Tc 0.0000 0.0000 0.5000 x3
As 0.0000 0.0000 0.2430 x6

Total energy in eV/atom, matching the order above: -6.387, -5.070, -6.210, -5.046, -4.899, -5.258